## CaPuMgCd (GGA-PBE)

Data for crystalline CaPuMgCd at its relaxed geometry.

Output
As for the density: 6.15 g cm⁻³. Its space group is F-43m, No. 216. Its crystal system is cubic.

a = 7.6864 Å, b = 7.6864 Å, c = 7.6864 Å
α = 90.00°, β = 90.00°, γ = 90.00°
With the nearest neighbours (Å) after each atom.
Fractional positions:
Ca: 0.0000 0.0000 0.0000  4 Cd 3.33, 4 Mg 3.33
Ca: 0.0000 0.5000 0.5000  4 Cd 3.33, 4 Mg 3.33
Ca: 0.5000 0.0000 0.5000  4 Cd 3.33, 4 Mg 3.33
Ca: 0.5000 0.5000 0.0000  4 Cd 3.33, 4 Mg 3.33
Pu: 0.0000 0.0000 0.5000  4 Cd 3.33, 4 Mg 3.33
Pu: 0.0000 0.5000 0.0000  4 Cd 3.33, 4 Mg 3.33
Pu: 0.5000 0.0000 0.0000  4 Cd 3.33, 4 Mg 3.33
Pu: 0.5000 0.5000 0.5000  4 Cd 3.33, 4 Mg 3.33
Mg: 0.2500 0.2500 0.2500  4 Pu 3.33, 4 Ca 3.33
Mg: 0.2500 0.7500 0.7500  4 Ca 3.33, 4 Pu 3.33
Mg: 0.7500 0.2500 0.7500  4 Ca 3.33, 4 Pu 3.33
Mg: 0.7500 0.7500 0.2500  4 Ca 3.33, 4 Pu 3.33
Cd: 0.2500 0.2500 0.7500  4 Ca 3.33, 4 Pu 3.33
Cd: 0.2500 0.7500 0.2500  4 Ca 3.33, 4 Pu 3.33
Cd: 0.7500 0.2500 0.2500  4 Ca 3.33, 4 Pu 3.33
Cd: 0.7500 0.7500 0.7500  4 Ca 3.33, 4 Pu 3.33

## CoSi2RhI (GGA-PBE)

Data for crystalline CoSi2RhI at its relaxed geometry.

Output
As for the density: 4.90 g cm⁻³. Its space group is P4/mmm, No. 123. Its crystal system is tetragonal.

a = 4.4930 Å, b = 4.4930 Å, c = 5.7922 Å
α = 90.00°, β = 90.00°, γ = 90.00°
With the nearest neighbours (Å) after each atom.
Fractional positions:
Co: 0.0000 0.0000 0.0000  4 I 3.18
Si: 0.0000 0.5000 0.5000  2 Rh 2.25
Si: 0.5000 0.0000 0.5000  2 Rh 2.25
Rh: 0.5000 0.5000 0.5000  4 Si 2.25
I: 0.5000 0.5000 0.0000  2 Rh 2.90, 4 Co 3.18

## YV2Fe10N (GGA-PBE)

Data for crystalline YV2Fe10N at its relaxed geometry.

Output
As for the density: 7.29 g cm⁻³. Its space group is Immm, No. 71. Its crystal system is orthorhombic.

a = 6.5006 Å, b = 6.5006 Å, c = 6.5006 Å
α = 137.17°, β = 97.85°, γ = 97.47°
With the nearest neighbours (Å) after each atom.
Fractional positions:
Y: 0.0000 0.0000 0.0000  2 N 2.37
V: 0.3592 0.3592 0.0000  1 V 2.41, 8 Fe 2.62-2.64
V: 0.6408 0.6408 0.0000  1 V 2.41, 8 Fe 2.62-2.64
Fe: 0.0000 0.0000 0.5000  8 Fe 2.37-2.63, 2 V 2.62
Fe: 0.0000 0.5000 0.0000  8 Fe 2.37-2.63, 2 V 2.62
Fe: 0.2234 0.7234 0.5000  1 N 1.92
Fe: 0.2248 0.5000 0.7248  1 N 1.92
Fe: 0.3606 0.0000 0.3606  9 Fe 2.38-2.65
Fe: 0.5000 0.0000 0.0000  8 Fe 2.37-2.63, 2 V 2.62
Fe: 0.5000 0.5000 0.5000  8 Fe 2.37-2.63, 2 V 2.62
Fe: 0.6394 0.0000 0.6394  9 Fe 2.38-2.65
Fe: 0.7752 0.5000 0.2752  1 N 1.92
Fe: 0.7766 0.2766 0.5000  1 N 1.92
N: 0.0000 0.5000 0.5000  4 Fe 1.92

Total moment list, top to bottom, in μB/atom: 1.57, 0.36, 1.30
Energy list, top to bottom, in eV/atom: -4.6823, -4.5526, -8.5617
Fermi-level density of states list, top to bottom, in states/eV per cell: 48.43, 4.60, 11.99